[1]
The following is a DFT calculation (PBE) of crystalline LaLuH4 at its relaxed geometry.

The structure in CIF format:
```
data_LaLuH4
_chemical_formula_sum 'La1 Lu1 H4'
_symmetry_space_group_name_H-M 'P 4/m m m'
_symmetry_Int_Tables_number 123
_symmetry_space_group_name_Hall '-P 4 2'
_cell_length_a 3.6877
_cell_length_b 3.6877
_cell_length_c 5.4556
_cell_angle_alpha 90.00
_cell_angle_beta 90.00
_cell_angle_gamma 90.00
loop_
_atom_site_label
_atom_site_fract_x
_atom_site_fract_y
_atom_site_fract_z
La1 0.0000 0.0000 0.0000
Lu1 0.5000 0.5000 0.5000
H1 0.0000 0.5000 0.2825
```

---

[2]
The following is a DFT calculation (PBE) of crystalline AcTbNO at its relaxed geometry.

Values from the calculation:
Its excess energy over the best structure of this formula in the dataset is 234 meV/atom.

The structure in CIF format:
```
data_AcTbNO
_chemical_formula_sum 'Ac2 Tb2 N2 O2'
_symmetry_space_group_name_H-M 'P 4/n m m'
_symmetry_Int_Tables_number 129
_cell_length_a 4.5644
_cell_length_b 4.5644
_cell_length_c 9.0218
_cell_angle_alpha 90.00
_cell_angle_beta 90.00
_cell_angle_gamma 90.00
loop_
_symmetry_equiv_pos_as_xyz
'x,y,z'
'-x,-y,-z'
'-y+1/2,x,z'
'y+1/2,-x,-z'
'-x+1/2,-y+1/2,z'
'x+1/2,y+1/2,-z'
'y,-x+1/2,z'
'-y,x+1/2,-z'
'x+1/2,-y,-z'
'-x+1/2,y,z'
'-y,-x,-z'
'y,x,z'
'-x,y+1/2,-z'
'x,-y+1/2,z'
'y+1/2,x+1/2,-z'
'-y+1/2,-x+1/2,z'
loop_
_atom_site_label
_atom_site_fract_x
_atom_site_fract_y
_atom_site_fract_z
Ac1 0.2500 0.2500 0.1186
Tb1 0.2500 0.7500 0.5000
N1 0.2500 0.2500 0.5482
O1 0.2500 0.7500 0.0000
```

---

[3]
The following is a DFT calculation (PBE) of crystalline LuCdInS3 at its relaxed geometry.

Values from the calculation:
Its excess energy over the best structure of this formula in the dataset is 2 meV/atom.

The structure in CIF format:
```
data_LuCdInS3
_chemical_formula_sum 'Lu2 Cd2 In2 S6'
_symmetry_space_group_name_H-M 'P 1 21/m 1'
_symmetry_Int_Tables_number 11
_symmetry_space_group_name_Hall '-P 2yb'
_cell_length_a 3.9716
_cell_length_b 10.6571
_cell_length_c 7.4217
_cell_angle_alpha 90.00
_cell_angle_beta 104.61
_cell_angle_gamma 90.00
loop_
_atom_site_label
_atom_site_fract_x
_atom_site_fract_y
_atom_site_fract_z
Lu1 0.0000 0.0000 0.0000
Cd1 0.4226 0.2500 0.8314
In1 0.3109 0.7500 0.5992
S1 0.0443 0.2500 0.0914
S2 0.3813 0.0261 0.7466
```

---

[4]
The following is a DFT calculation (PBE) of crystalline PrHgAsO at its relaxed geometry.

The structure in CIF format:
```
data_PrHgAsO
_chemical_formula_sum 'Pr2 Hg2 As2 O2'
_symmetry_space_group_name_H-M 'P m c 21'
_symmetry_Int_Tables_number 26
_symmetry_space_group_name_Hall 'P 2c -2'
_cell_length_a 5.8557
_cell_length_b 4.0997
_cell_length_c 7.3033
_cell_angle_alpha 90.00
_cell_angle_beta 90.00
_cell_angle_gamma 90.00
loop_
_atom_site_label
_atom_site_fract_x
_atom_site_fract_y
_atom_site_fract_z
Pr1 0.0000 0.2080 0.0000
Hg1 0.5000 0.4752 0.3405
As1 0.5000 0.0675 0.6039
O1 0.0000 0.3042 0.3237
```

---

[5]
The following is a DFT calculation (PBE) of crystalline Nd8Ga3Co at its relaxed geometry.

The structure in CIF format:
```
data_Nd8Ga3Co
_chemical_formula_sum 'Nd16 Ga6 Co2'
_symmetry_space_group_name_H-M 'P 63 m c'
_symmetry_Int_Tables_number 186
_symmetry_space_group_name_Hall 'P 6c -2c'
_cell_length_a 10.4702
_cell_length_b 10.4702
_cell_length_c 6.9899
_cell_angle_alpha 90.00
_cell_angle_beta 90.00
_cell_angle_gamma 120.00
loop_
_atom_site_label
_atom_site_fract_x
_atom_site_fract_y
_atom_site_fract_z
Nd1 0.0000 0.0000 0.0000
Nd2 0.0750 0.5375 0.0146
Nd3 0.1705 0.3410 0.7164
Nd4 0.3333 0.6667 0.4013
Ga1 0.1645 0.3290 0.2587
Co1 0.3333 0.6667 0.7833
```

---

[6]
The following is a DFT calculation (PBE) of crystalline NiSb3Mo2 at its relaxed geometry.

The structure in CIF format:
```
data_NiSb3Mo2
_chemical_formula_sum 'Ni1 Sb3 Mo2'
_symmetry_space_group_name_H-M 'P -4 m 2'
_symmetry_Int_Tables_number 115
_symmetry_space_group_name_Hall 'P -4 -2'
_cell_length_a 3.6548
_cell_length_b 3.6548
_cell_length_c 8.2979
_cell_angle_alpha 90.00
_cell_angle_beta 90.00
_cell_angle_gamma 90.00
loop_
_atom_site_label
_atom_site_fract_x
_atom_site_fract_y
_atom_site_fract_z
Ni1 0.0000 0.0000 0.0000
Sb1 0.0000 0.5000 0.3866
Sb2 0.5000 0.5000 0.0000
Mo1 0.0000 0.5000 0.7422
```

---

no.,final energy (eV for the cell shown),total magnetic moment (μB/f.u.)
1,-26.80,0.01
2,-58.38,0.01
3,-53.75,0.00
4,-40.15,0.00
5,-116.59,0.00
6,-39.51,0.04